Material: SmMgPb3
Method: DFT, GGA-PBE
State: relaxed

Cell lengths 6.447, 6.527, 13.523 Å; angles 90.00, 90.00, 90.11 degrees
Positions (direct):
1 Sm 0.500 0.250 0.692
2 Sm 0.500 0.750 0.308
3 Sm 0.000 0.250 0.308
4 Sm 0.000 0.750 0.692
5 Mg 0.250 0.500 0.117
6 Mg 0.750 0.000 0.883
7 Mg 0.750 0.500 0.883
8 Mg 0.250 0.000 0.117
9 Pb 0.250 0.000 0.499
10 Pb 0.750 0.500 0.501
11 Pb 0.750 0.000 0.501
12 Pb 0.250 0.500 0.499
13 Pb 0.186 0.750 0.924
14 Pb 0.814 0.250 0.076
15 Pb 0.686 0.750 0.076
16 Pb 0.314 0.250 0.924
17 Pb 0.495 0.750 0.727
18 Pb 0.505 0.250 0.273
19 Pb 0.995 0.750 0.273
20 Pb 0.005 0.250 0.727

E above lowest polymorph: 0.000 eV/atom